DFT (GGA-PBE) results for a relaxed RbUS3 crystal.

Structure (extended XYZ):
```
5
Lattice="-4.879 -1.770 0.504 1.774 -4.903 -0.048 0.490 0.127 5.190" Properties=species:S:1:pos:R:3 pbc="T T T"
S 0.887 -2.452 -0.024
S 0.245 0.063 2.595
S -2.439 -0.885 0.252
U 0.000 0.000 0.000
Rb -1.308 -3.273 2.823
```

formation energy (no corrections): -1.3432 eV per atom
calculated volume: 28.36 Å³ per atom
space group: Pm-3m (221)
energy above the most stable polymorph in this dataset: 0.000 eV/atom

---

DFT (GGA-PBE) results for a relaxed Sc2CuW crystal.

Structure (extended XYZ):
```
4
Lattice="-2.985 0.301 -0.284 0.086 -1.572 -2.570 -1.055 -6.654 4.034" Properties=species:S:1:pos:R:3 pbc="T T T"
Cu -2.241 -5.626 1.598
Sc -1.039 -6.554 3.973
Sc -0.543 -3.426 2.077
W -1.713 -2.299 -0.419
```

DFT formation energy: 26 kJ/mol of formula units
calculated volume: 17.83 Å³ per atom
space group: P4/mmm (123)
energy above the most stable polymorph in this dataset: 0.000 eV/atom

---

Among the records above, which one has the highest calculated volume?
RbUS3

---

Look up the calculated volume of the second one.
17.83 Å³ per atom

---

Look up the calculated volume of the first one.
28.36 Å³ per atom